# Hg3Te

A relaxed Hg3Te crystal (PBE-GGA, Alexandria).

Geometry as POSCAR:
```
Hg3Te
1.0
-0.743 -4.938 -3.837
4.325 4.385 -1.313
9.161 -6.906 7.115
Hg Te
12 4
Direct
0.000 0.500 0.000 Hg
0.667 0.834 0.750 Hg
0.500 0.000 0.500 Hg
0.333 0.166 0.250 Hg
0.166 0.834 0.750 Hg
0.500 0.500 0.000 Hg
0.500 0.500 0.500 Hg
0.166 0.333 0.750 Hg
0.500 0.000 0.000 Hg
0.834 0.166 0.250 Hg
0.000 0.500 0.500 Hg
0.834 0.667 0.250 Hg
0.000 0.000 0.500 Te
0.667 0.333 0.750 Te
0.333 0.667 0.250 Te
0.000 0.000 0.000 Te
```

Values from the calculation:
- Energy: -0.89 eV per atom
- Space-group type: No. 194
- Energy above the lowest structure with this stoichiometry: 0.52 eV per formula unit



# Hg5Te

A relaxed Hg5Te crystal (PBE-GGA, Alexandria).

Geometry as POSCAR:
```
Hg5Te
1.0
1.576 5.809 0.578
-1.576 5.809 0.578
0.000 5.233 10.033
Hg Te
5 1
Direct
0.064 0.064 0.373 Hg
0.978 0.978 0.024 Hg
0.336 0.336 0.347 Hg
0.408 0.408 0.690 Hg
0.660 0.660 0.702 Hg
0.721 0.721 0.030 Te
```

Values from the calculation:
- Energy: -0.74 eV per atom
- Space-group type: No. 8
- Energy above the lowest structure with this stoichiometry: 0.16 eV per formula unit



# Hg5Te4

A relaxed Hg5Te4 crystal (PBE-GGA, Alexandria).

Geometry as POSCAR:
```
Hg5Te4
1.0
1.346 -4.431 6.679
-1.475 7.083 -3.702
-7.683 -2.547 -0.737
Hg Te
5 4
Direct
0.664 0.336 0.000 Hg
0.000 0.000 0.000 Hg
0.336 0.664 0.000 Hg
0.664 0.664 0.328 Hg
0.336 0.336 0.672 Hg
0.000 0.671 0.671 Te
0.329 0.000 0.329 Te
0.000 0.329 0.329 Te
0.671 0.000 0.671 Te
```

Values from the calculation:
- Energy: -1.38 eV per atom
- Space-group type: No. 139
- Energy above the lowest structure with this stoichiometry: 1.20 eV per formula unit



# HgTe

A relaxed HgTe crystal (PBE-GGA, Alexandria).

Geometry as POSCAR:
```
HgTe
1.0
6.897 -0.019 -0.011
6.151 3.121 -0.011
6.151 1.462 2.758
Te Hg
1 1
Direct
0.500 0.500 0.500 Te
0.000 0.000 0.000 Hg
```

Values from the calculation:
- Energy: -1.50 eV per atom
- Space-group type: No. 166



| no. | spin magnetization (Bohr magnetons per cell) |
| --- | --- |
| 1 | 0.000 |
| 2 | 0.000 |
| 3 | 0.000 |
| 4 | 0.000 |